Computed, not measured: PmErSiNi after structural relaxation at the PBE level of DFT.

Summary:
Calculated total energy ... -5.557 eV per atom
D(E_F) ... 1.75 states/eV/f.u.

The structure in POSCAR format:
```
PmErSiNi
1.0
4.939 0.000 0.000
2.469 4.277 0.000
2.469 1.426 4.033
Ni Si Pm Er
1 1 1 1
direct
0.250 0.250 0.250
0.750 0.750 0.750
0.000 0.000 0.000
0.500 0.500 0.500
```

Computed, not measured: Cr2AgMo after structural relaxation at the PBE level of DFT.

Summary:
Calculated total energy ... -7.755 eV per atom
Excess energy over the best structure of this formula in the dataset ... 2.97 kcal/mol of atoms
DFT formation energy ... 0.477 eV per atom
D(E_F) ... 3.94 states/eV/f.u.

The structure in POSCAR format:
```
Cr2AgMo
1.0
8.957 0.008 0.005
8.528 2.740 0.005
8.528 1.340 2.390
Ag Cr Mo
1 2 1
direct
0.745 0.745 0.745
0.988 0.988 0.988
0.259 0.259 0.259
0.508 0.508 0.508
```

Computed, not measured: Li4UPa3N8 after structural relaxation at the PBE level of DFT.

Summary:
Calculated total energy ... -8.374 eV per atom
D(E_F) ... 0.12 states/eV/f.u.

The structure in POSCAR format:
```
Li4UPa3N8
1.0
-0.272 -5.695 -4.215
6.414 0.360 -0.901
-3.005 -0.194 6.420
Li U Pa N
4 1 3 8
direct
0.500 0.000 0.000
0.500 0.000 0.500
0.000 0.000 0.000
0.000 0.000 0.500
0.000 0.500 0.000
0.500 0.500 0.000
0.500 0.500 0.500
0.000 0.500 0.500
0.233 0.708 0.974
0.233 0.708 0.467
0.266 0.297 0.531
0.740 0.708 0.974
0.260 0.292 0.026
0.734 0.703 0.469
0.767 0.292 0.533
0.767 0.292 0.026
```

Computed, not measured: Li2TaTe after structural relaxation at the PBE level of DFT.

Summary:
Calculated total energy ... -4.541 eV per atom
D(E_F) ... 1.54 states/eV/f.u.

The structure in POSCAR format:
```
Li2TaTe
1.0
10.025 0.015 0.009
9.559 3.022 0.009
9.559 1.482 2.633
Li Ta Te
2 1 1
direct
0.001 0.001 0.001
0.499 0.499 0.499
0.250 0.250 0.250
0.750 0.750 0.750
```

Q: Which value of D(E_F) does entry 2 give?
A: 3.94 states/eV/f.u.